Record 1
A relaxed VNi2HRu crystal. Source: the Alexandria database, functional PBE.

The offset from the most stable computed form comes out at 1.8 kJ/mol of atoms. For the energy, the calculation gives -6.787 eV per atom.

a = 3.569 Å, b = 3.569 Å, c = 3.966 Å
α = 90.00°, β = 90.00°, γ = 90.00°
Space group P4/mmm (No. 123)
Inequivalent atoms, fractional coordinates:
V 0.000 0.000 0.000
Ni 0.000 0.500 0.500
H 0.000 0.000 0.500
Ru 0.500 0.500 0.000

Record 2
A relaxed Ga2BiMoN crystal. Source: the Alexandria database, functional PBE.

For the energy, the calculation gives -4.555 eV per atom. As for the uncorrected formation energy: 1.264 eV per atom.

a = 4.987 Å, b = 4.987 Å, c = 5.273 Å
α = 90.00°, β = 90.00°, γ = 90.00°
Space group P4/mmm (No. 123)
Inequivalent atoms, fractional coordinates:
Ga 0.000 0.500 0.000
Bi 0.000 0.000 0.500
Mo 0.000 0.000 0.000
N 0.500 0.500 0.500

Record 3
A relaxed Na2SrAs2 crystal. Source: the Alexandria database, functional PBE.

As for the calculated formation energy: -609 meV/atom. The offset from the most stable computed form comes out at 3.0 kJ/mol of atoms. For the energy, the calculation gives -3.333 eV per atom.

a = 4.541 Å, b = 4.541 Å, c = 12.727 Å
α = 90.00°, β = 90.00°, γ = 90.00°
Space group I4/mmm (No. 139)
Inequivalent atoms, fractional coordinates:
Na 0.000 0.500 0.250
Sr 0.000 0.000 0.000
As 0.000 0.000 0.401

Record 4
A relaxed YFe2IBr crystal. Source: the Alexandria database, functional PBE.

For the energy, the calculation gives -4.678 eV per atom. As for the uncorrected formation energy: 0.645 eV per atom.

a = 4.415 Å, b = 4.415 Å, c = 6.679 Å
α = 90.00°, β = 90.00°, γ = 90.00°
Space group P4/mmm (No. 123)
Inequivalent atoms, fractional coordinates:
Y 0.000 0.000 0.000
Fe 0.000 0.500 0.500
I 0.500 0.500 0.000
Br 0.500 0.500 0.500

Record 5
A relaxed Li2CrIn crystal. Source: the Alexandria database, functional PBE.

As for the calculated formation energy: 350 meV/atom. For the energy, the calculation gives -3.697 eV per atom.

a = 7.431 Å, b = 7.431 Å, c = 5.554 Å
α = 90.00°, β = 90.00°, γ = 90.00°
Space group I-42d (No. 122)
Inequivalent atoms, fractional coordinates:
Li 0.243 0.250 0.125
Cr 0.000 0.000 0.000
In 0.000 0.000 0.500

Record 6
A relaxed Os crystal. Source: the Alexandria database, functional PBE.

As for the calculated formation energy: 889 meV/atom. The offset from the most stable computed form comes out at 85.8 kJ/mol of atoms. For the energy, the calculation gives -10.340 eV per atom.

a = 3.093 Å, b = 3.093 Å, c = 3.093 Å
α = 90.00°, β = 90.00°, γ = 90.00°
Space group Im-3m (No. 229)
Inequivalent atoms, fractional coordinates:
Os 0.000 0.000 0.000